FeMo3O: relaxed, PBE+U.

Cell lengths 4.088, 4.088, 4.088 Å; angles 90.00, 90.00, 90.00 degrees
Element x y z (fractional)
Fe (0.000, 0.000, 0.000)
Mo (0.000, 0.500, 0.500)
Mo (0.500, 0.000, 0.500)
Mo (0.500, 0.500, 0.000)
O (0.500, 0.500, 0.500)

Calculated values
The calculation puts the total energy at -24.224 eV per cell. The total magnetization is 0.00 μB/f.u. For the energy relative to the lowest polymorph listed for this composition, the calculation gives 0.00 kJ/mol of atoms. Its density of states at the Fermi level is 5.81 states/eV per cell.